1.
Entry from Alexandria: Tb2PuZrAs4 after structural relaxation (PBE).

a b c (Å): 4.0615 7.0252 7.0323
angles (deg): 109.25 90.00 90.00
Fractional coordinates of all 8 atoms:
As 0.0000 0.7398 0.2386
Pu 0.0000 0.0000 0.0000
Zr 0.5000 0.5000 0.0000
Tb 0.0000 0.5000 0.5000
As 0.0000 0.2602 0.7614
As 0.5000 0.7454 0.7574
As 0.5000 0.2546 0.2426
Tb 0.5000 0.0000 0.5000

Calculated values
space-group type = P2/m
formation energy = -10.48 eV/f.u.
Fermi-level density of states = 12.476 states/eV/f.u.
DFT total energy = -7.653 eV per atom



2.
Entry from Alexandria: ZnIn2Cl after structural relaxation (PBE).

a b c (Å): 8.6639 8.6639 8.6639
angles (deg): 25.09 25.09 25.09
Fractional coordinates of all 4 atoms:
Zn 0.2500 0.2500 0.2500
In 0.5037 0.5037 0.5037
Cl 0.7500 0.7500 0.7500
In 0.9963 0.9963 0.9963

Calculated values
space-group type = R-3m
raw formation energy = -0.210 eV/atom
Fermi-level density of states = 1.686 states/eV/f.u.
offset from the most stable computed form = 51 meV/atom
DFT total energy = -2.359 eV per atom



3.
Entry from Alexandria: YbPaO4 after structural relaxation (PBE).

a b c (Å): 6.5957 6.5957 6.5957
angles (deg): 131.71 131.71 70.68
Fractional coordinates of all 12 atoms:
Yb 0.7500 0.2500 0.5000
O 0.3750 0.3868 0.5118
O 0.1368 0.1250 0.5118
O 0.8750 0.8632 0.4882
O 0.3750 0.8632 0.9882
Yb 0.0000 0.0000 0.0000
Pa 0.2500 0.7500 0.5000
O 0.8750 0.3868 0.0118
O 0.6132 0.1250 0.9882
O 0.6132 0.6250 0.4882
Pa 0.5000 0.5000 0.0000
O 0.1368 0.6250 0.0118

Calculated values
space-group type = I4_1/amd
raw formation energy = -3.366 eV/atom
Fermi-level density of states = 8.694 states/eV/f.u.
DFT total energy = -8.509 eV per atom